1.
VASP calculation (PBE) on crystalline IrRuN3 at its relaxed geometry.

a = 3.8361 Å, b = 3.8361 Å, c = 3.8361 Å
α = 90.00°, β = 90.00°, γ = 90.00°
Last column: nearest neighbours and their distance in Å.
Fractional coordinates of all 5 atoms:
Ir: 0.0000 0.0000 0.0000  6 N 1.92
Ru: 0.5000 0.5000 0.5000  12 N 2.71
N: 0.0000 0.0000 0.5000  2 Ir 1.92
N: 0.0000 0.5000 0.0000  2 Ir 1.92
N: 0.5000 0.0000 0.0000  2 Ir 1.92

Its space group is Pm-3m, No. 221. The value obtained for the uncorrected energy is -34.19 eV for the cell shown. The formation energy without anion corrections is 1.7838 eV/atom. The density of states at the Fermi level comes out at 4.58 states/eV per cell.

2.
VASP calculation (PBE) on crystalline IrRu3N at its relaxed geometry.

a = 4.7300 Å, b = 4.7300 Å, c = 4.7300 Å
α = 90.00°, β = 90.00°, γ = 90.00°
Last column: nearest neighbours and their distance in Å.
Fractional coordinates of all 5 atoms:
Ir: 0.0000 0.0000 0.0000  6 Ru 2.36
Ru: 0.0000 0.0000 0.5000  2 Ir 2.36
Ru: 0.0000 0.5000 0.0000  2 Ir 2.36
Ru: 0.5000 0.0000 0.0000  2 Ir 2.36
N: 0.5000 0.5000 0.5000  12 Ru 3.34

As for the energy above the most stable polymorph in this dataset: 2513 meV/atom. Its space group is Pm-3m, No. 221. The value obtained for the uncorrected energy is -30.71 eV for the cell shown. The formation energy without anion corrections is 2.8603 eV/atom. The density of states at the Fermi level comes out at 7.65 states/eV per cell.

3.
VASP calculation (PBE) on crystalline IrRuN3 at its relaxed geometry.

a = 3.8311 Å, b = 3.8311 Å, c = 3.8311 Å
α = 90.00°, β = 90.00°, γ = 90.00°
Last column: nearest neighbours and their distance in Å.
Fractional coordinates of all 5 atoms:
Ir: 0.0000 0.0000 0.0000  12 N 2.71
Ru: 0.5000 0.5000 0.5000  6 N 1.92
N: 0.0000 0.5000 0.5000  2 Ru 1.92
N: 0.5000 0.0000 0.5000  2 Ru 1.92
N: 0.5000 0.5000 0.0000  2 Ru 1.92

Its space group is Pm-3m, No. 221. The value obtained for the uncorrected energy is -33.89 eV for the cell shown. The formation energy without anion corrections is 1.8436 eV/atom. The density of states at the Fermi level comes out at 3.78 states/eV per cell.

4.
VASP calculation (PBE) on crystalline IrRu3N at its relaxed geometry.

a = 4.0107 Å, b = 4.0107 Å, c = 4.0107 Å
α = 90.00°, β = 90.00°, γ = 90.00°
Last column: nearest neighbours and their distance in Å.
Fractional coordinates of all 5 atoms:
Ir: 0.0000 0.0000 0.0000  12 Ru 2.84
Ru: 0.0000 0.5000 0.5000  2 N 2.01
Ru: 0.5000 0.0000 0.5000  2 N 2.01
Ru: 0.5000 0.5000 0.0000  2 N 2.01
N: 0.5000 0.5000 0.5000  6 Ru 2.01

As for the energy above the most stable polymorph in this dataset: 0 meV/atom. Its space group is Pm-3m, No. 221. The value obtained for the uncorrected energy is -43.28 eV for the cell shown. The formation energy without anion corrections is 0.3476 eV/atom. The density of states at the Fermi level comes out at 4.87 states/eV per cell.

5.
VASP calculation (PBE) on crystalline IrRu2N2 at its relaxed geometry.

a = 4.5527 Å, b = 4.5527 Å, c = 4.5527 Å
α = 128.41°, β = 128.41°, γ = 75.97°
Last column: nearest neighbours and their distance in Å.
Fractional coordinates of all 5 atoms:
Ir: 0.0000 0.0000 0.0000  8 Ru 2.67, 10 N 2.88-2.94
Ru: 0.2500 0.7500 0.5000  4 N 2.29
Ru: 0.7500 0.2500 0.5000  4 N 2.29
N: 0.4090 0.4090 0.0000  1 N 1.31
N: 0.5910 0.5910 0.0000  1 N 1.31

As for the energy above the most stable polymorph in this dataset: 0 meV/atom. Its space group is I4/mmm, No. 139. The value obtained for the uncorrected energy is -39.28 eV for the cell shown. The formation energy without anion corrections is 0.9562 eV/atom. The density of states at the Fermi level comes out at 4.12 states/eV per cell.

6.
VASP calculation (PBE) on crystalline Ir2RuN at its relaxed geometry.

a = 5.2028 Å, b = 5.2028 Å, c = 5.2028 Å
α = 106.44°, β = 106.44°, γ = 115.72°
Last column: nearest neighbours and their distance in Å.
Fractional coordinates of all 8 atoms:
Ir: 0.0285 0.1250 0.4035  2 N 1.95
Ir: 0.3750 0.9715 0.0965  2 N 1.95
Ir: 0.7215 0.6250 0.5965  2 N 1.95
Ir: 0.8750 0.2785 0.9035  2 N 1.95
Ru: 0.2500 0.7500 0.5000  8 Ir 2.75-2.77, 2 N 2.77
Ru: 0.5000 0.5000 0.0000  8 Ir 2.75-2.77, 2 N 2.77
N: 0.0000 0.0000 0.0000  4 Ir 1.95
N: 0.7500 0.2500 0.5000  4 Ir 1.95

As for the energy above the most stable polymorph in this dataset: 0 meV/atom. Its space group is I-42d, No. 122. The value obtained for the uncorrected energy is -64.79 eV for the cell shown. The formation energy without anion corrections is 0.7320 eV/atom. The density of states at the Fermi level comes out at 10.47 states/eV per cell.

7.
VASP calculation (PBE) on crystalline Ir2RuN at its relaxed geometry.

a = 4.2075 Å, b = 4.2075 Å, c = 4.2075 Å
α = 60.00°, β = 60.00°, γ = 60.00°
Last column: nearest neighbours and their distance in Å.
Fractional coordinates of all 4 atoms:
Ir: 0.2500 0.2500 0.2500  4 Ru 2.58, 4 N 2.58
Ir: 0.7500 0.7500 0.7500  4 Ru 2.58, 4 N 2.58
Ru: 0.0000 0.0000 0.0000  8 Ir 2.58
N: 0.5000 0.5000 0.5000  8 Ir 2.58

As for the energy above the most stable polymorph in this dataset: 753 meV/atom. Its space group is Fm-3m, No. 225. The value obtained for the uncorrected energy is -29.38 eV for the cell shown. The formation energy without anion corrections is 1.4849 eV/atom. The density of states at the Fermi level comes out at 11.60 states/eV per cell.

8.
VASP calculation (PBE) on crystalline IrRuSN2 at its relaxed geometry.

a = 3.7039 Å, b = 3.7039 Å, c = 5.1879 Å
α = 90.00°, β = 90.00°, γ = 90.00°
Last column: nearest neighbours and their distance in Å.
Fractional coordinates of all 5 atoms:
Ir: 0.0000 0.0000 0.0000  4 S 2.62
Ru: 0.5000 0.5000 0.5000  4 N 1.85
S: 0.5000 0.5000 0.0000  2 Ru 2.59, 4 Ir 2.62
N: 0.0000 0.5000 0.5000  2 Ru 1.85
N: 0.5000 0.0000 0.5000  2 Ru 1.85

As for the energy above the most stable polymorph in this dataset: 80 meV/atom. Its space group is P4/mmm, No. 123. The value obtained for the uncorrected energy is -32.41 eV for the cell shown. The formation energy without anion corrections is 1.3004 eV/atom. The density of states at the Fermi level comes out at 5.13 states/eV per cell.

9.
VASP calculation (PBE) on crystalline IrRuSN2 at its relaxed geometry.

a = 3.6501 Å, b = 3.6501 Å, c = 7.2838 Å
α = 90.00°, β = 90.00°, γ = 90.00°
Last column: nearest neighbours and their distance in Å.
Fractional coordinates of all 5 atoms:
Ir: 0.0000 0.0000 0.0000  4 N 1.83
Ru: 0.5000 0.5000 0.5000  4 S 2.58
S: 0.0000 0.0000 0.5000  4 Ru 2.58
N: 0.0000 0.5000 0.0000  2 Ir 1.83
N: 0.5000 0.0000 0.0000  2 Ir 1.83

As for the energy above the most stable polymorph in this dataset: 0 meV/atom. Its space group is P4/mmm, No. 123. The value obtained for the uncorrected energy is -32.81 eV for the cell shown. The formation energy without anion corrections is 1.2205 eV/atom. The density of states at the Fermi level comes out at 4.26 states/eV per cell.

10.
VASP calculation (PBE) on crystalline SnIr2RuN at its relaxed geometry.

a = 3.9768 Å, b = 3.9768 Å, c = 4.8225 Å
α = 90.00°, β = 90.00°, γ = 90.00°
Last column: nearest neighbours and their distance in Å.
Fractional coordinates of all 5 atoms:
Sn: 0.0000 0.0000 0.0000  2 N 2.41
Ir: 0.0000 0.5000 0.5000  2 N 1.99
Ir: 0.5000 0.0000 0.5000  2 N 1.99
Ru: 0.5000 0.5000 0.0000  4 Sn 2.81, 8 Ir 3.13
N: 0.0000 0.0000 0.5000  4 Ir 1.99

Its space group is P4/mmm, No. 123. The value obtained for the uncorrected energy is -35.89 eV for the cell shown. The formation energy without anion corrections is 0.6870 eV/atom. The density of states at the Fermi level comes out at 5.91 states/eV per cell.

11.
VASP calculation (PBE) on crystalline SrIrRuN2 at its relaxed geometry.

a = 4.0000 Å, b = 4.0000 Å, c = 5.0125 Å
α = 90.00°, β = 90.00°, γ = 90.00°
Last column: nearest neighbours and their distance in Å.
Fractional coordinates of all 5 atoms:
Sr: 0.0000 0.0000 0.0000  4 Ir 2.83
Ir: 0.5000 0.5000 0.0000  2 Ru 2.51
Ru: 0.5000 0.5000 0.5000  4 N 2.00
N: 0.0000 0.5000 0.5000  2 Ru 2.00
N: 0.5000 0.0000 0.5000  2 Ru 2.00

Its space group is P4/mmm, No. 123. The value obtained for the uncorrected energy is -32.57 eV for the cell shown. The formation energy without anion corrections is 0.7802 eV/atom. The density of states at the Fermi level comes out at 4.11 states/eV per cell.

12.
VASP calculation (PBE) on crystalline TeIrRuN2 at its relaxed geometry.

a = 3.7745 Å, b = 3.7745 Å, c = 5.9305 Å
α = 90.00°, β = 90.00°, γ = 90.00°
Last column: nearest neighbours and their distance in Å.
Fractional coordinates of all 5 atoms:
Te: 0.0000 0.0000 0.0000  4 Ir 2.67, 2 Ru 2.97
Ir: 0.5000 0.5000 0.0000  4 Te 2.67
Ru: 0.0000 0.0000 0.5000  4 N 1.89
N: 0.0000 0.5000 0.5000  2 Ru 1.89
N: 0.5000 0.0000 0.5000  2 Ru 1.89

As for the energy above the most stable polymorph in this dataset: 0 meV/atom. Its space group is P4/mmm, No. 123. The value obtained for the uncorrected energy is -32.32 eV for the cell shown. The formation energy without anion corrections is 1.1222 eV/atom. The density of states at the Fermi level comes out at 3.06 states/eV per cell.